Compound: ThMn2Ni6
Source: the Alexandria database
Functional: GGA-PBE
Structure: relaxed

Cell lengths 3.931, 7.145, 9.456 Å; angles 90.00, 90.00, 90.00 degrees
Space group Immm (No. 71)
Asymmetric unit:
Th (0.000, 0.000, 0.000) [2 per cell]
Mn (0.000, 0.500, 0.142) [4 per cell]
Ni (0.000, 0.169, 0.244) [8 per cell]
Ni (0.000, 0.175, 0.500) [4 per cell]

Results
DFT formation energy (eV/atom): 0.068
DOS(E_F) (states/eV/f.u.): 8.02

Compound: ThMn2Ni5
Source: the Alexandria database
Functional: GGA-PBE
Structure: relaxed

Cell lengths 3.756, 6.571, 9.397 Å; angles 90.00, 90.00, 90.00 degrees
Space group Immm (No. 71)
Asymmetric unit:
Th (0.000, 0.000, 0.000) [2 per cell]
Mn (0.000, 0.500, 0.245) [4 per cell]
Ni (0.000, 0.188, 0.366) [8 per cell]
Ni (0.000, 0.500, 0.000) [2 per cell]

Results
DFT formation energy (eV/atom): -0.059
DOS(E_F) (states/eV/f.u.): 4.93

Compound: ThMnNi5
Source: the Alexandria database
Functional: GGA-PBE
Structure: relaxed

Cell lengths 7.988, 4.894, 10.094 Å; angles 90.00, 90.00, 90.00 degrees
Space group Pnma (No. 62)
Asymmetric unit:
Th (0.248, 0.250, 0.058) [4 per cell]
Mn (0.143, 0.750, 0.855) [4 per cell]
Ni (0.052, 0.750, 0.096) [4 per cell]
Ni (0.066, 0.005, 0.307) [8 per cell]
Ni (0.100, 0.250, 0.517) [4 per cell]
Ni (0.187, 0.250, 0.752) [4 per cell]

Results
DFT formation energy (eV/atom): -0.282
DOS(E_F) (states/eV/f.u.): 6.07